{"formula": "KV2RhO6", "functional": "PBE+U", "state": "optimized geometry", "sg": "C2/c, No. 15", "total_energy_ev_per_atom": -6.83, "n_ef_per_ev_cell": 3.84, "density_g_cm3": 3.49, "cell": [[6.332, -4.535, 0.000], [6.332, 4.535, 0.000], [-2.650, 0.000, 5.637]], "species": ["K", "K", "V", "V", "V", "V", "Rh", "Rh", "O", "O", "O", "O", "O", "O", "O", "O", "O", "O", "O", "O"], "fractional_positions": [[0.116, 0.884, 0.750], [0.884, 0.116, 0.250], [0.160, 0.366, 0.778], [0.366, 0.160, 0.278], [0.634, 0.840, 0.722], [0.840, 0.634, 0.222], [0.259, 0.741, 0.250], [0.741, 0.259, 0.750], [0.072, 0.650, 0.310], [0.183, 0.594, 0.913], [0.233, 0.271, 0.500], [0.271, 0.233, 0.000], [0.350, 0.928, 0.190], [0.406, 0.817, 0.587], [0.594, 0.183, 0.413], [0.650, 0.072, 0.810], [0.729, 0.767, 0.000], [0.767, 0.729, 0.500], [0.817, 0.406, 0.087], [0.928, 0.350, 0.690]]}